# Tl6Hg2Se2S | Alexandria via LeMat-Bulk | PBE-GGA | relaxed
# Uncorrected energy in eV per atom: -2.634
# Fermi-level density of states in states/eV/cell: 0.6
data_Tl6Hg2Se2S
_chemical_formula_sum 'Tl12 Hg4 Se4 S2'
_cell_length_a 7.6838
_cell_length_b 13.3757
_cell_length_c 8.1876
_cell_angle_alpha 90.00
_cell_angle_beta 109.53
_cell_angle_gamma 90.00
_space_group_name_H-M_alt 'C 1 2/m 1'
_space_group_IT_number 12
_space_group_name_Hall '-C 2y'
loop_
_atom_site_label
_atom_site_type_symbol
_atom_site_fract_x
_atom_site_fract_y
_atom_site_fract_z
_atom_site_occupancy
Tl1 Tl 0.2403 0.1581 0.2142 1
Tl2 Tl 0.2454 0.5000 0.2043 1
Hg1 Hg 0.0000 0.1697 0.5000 1
Se1 Se 0.0000 0.3254 0.0000 1
S1 S 0.0000 0.0000 0.0000 1